## Nd8PC3Cl4 (PBE)

Data for Nd8PC3Cl4 after structural relaxation.

a = 8.4280 Å, b = 8.4280 Å, c = 8.4280 Å
α = 54.81°, β = 54.81°, γ = 54.81°
With the nearest neighbours (Å) after each atom.
Atoms (fractional coordinates):
Nd 0.2114 0.7428 0.7428  2 C 2.59, 1 P 2.76
Nd 0.2302 0.2302 0.2302  3 C 2.62
Nd 0.2572 0.2572 0.7886  2 C 2.59, 1 P 2.76
Nd 0.2572 0.7886 0.2572  2 C 2.59, 1 P 2.76
Nd 0.7428 0.2114 0.7428  2 C 2.59, 1 P 2.76
Nd 0.7428 0.7428 0.2114  2 C 2.59, 1 P 2.76
Nd 0.7698 0.7698 0.7698  3 C 2.62
Nd 0.7886 0.2572 0.2572  2 C 2.59, 1 P 2.76
P 0.5000 0.5000 0.5000  6 Nd 2.76
C 0.0000 0.0000 0.5000  6 Nd 2.59-2.62
C 0.0000 0.5000 0.0000  6 Nd 2.59-2.62
C 0.5000 0.0000 0.0000  6 Nd 2.59-2.62
Cl 0.0000 0.0000 0.0000  6 Nd 3.01
Cl 0.0000 0.5000 0.5000  6 Nd 3.15-3.17
Cl 0.5000 0.0000 0.5000  6 Nd 3.15-3.17
Cl 0.5000 0.5000 0.0000  6 Nd 3.15-3.17

## Properties
ΔE_f (raw), eV per atom: -1.159
Space-group type: R-3m (166)

---

## Nd6P2CCl3 (PBE)

Data for Nd6P2CCl3 after structural relaxation.

a = 9.3833 Å, b = 9.3833 Å, c = 8.5099 Å
α = 106.36°, β = 106.36°, γ = 24.56°
With the nearest neighbours (Å) after each atom.
Atoms (fractional coordinates):
Nd 0.0052 0.0052 0.2056  2 C 2.64, 1 P 2.82
Nd 0.3265 0.3265 0.4405  3 P 2.78-2.83, 3 Cl 3.07-3.09
Nd 0.3550 0.3550 0.9127  1 C 2.55, 2 P 2.80
Nd 0.6450 0.6450 0.0873  1 C 2.55, 2 P 2.80
Nd 0.6735 0.6735 0.5595  3 P 2.78-2.83, 3 Cl 3.07-3.09
Nd 0.9948 0.9948 0.7944  2 C 2.64, 1 P 2.82
P 0.1655 0.1655 0.3272  6 Nd 2.78-2.83
P 0.8345 0.8345 0.6728  6 Nd 2.78-2.83
C 0.5000 0.5000 0.0000  6 Nd 2.55-2.64
Cl 0.1658 0.1658 0.8321  6 Nd 3.05-3.34
Cl 0.5000 0.5000 0.5000  6 Nd 3.07-3.23
Cl 0.8342 0.8342 0.1679  6 Nd 3.05-3.34

## Properties
ΔE_f (raw), eV per atom: -1.410
Space-group type: C2/m (12)

---

## Nd4PCCl2 (PBE)

Data for Nd4PCCl2 after structural relaxation.

a = 6.9604 Å, b = 3.9384 Å, c = 7.4220 Å
α = 90.00°, β = 107.80°, γ = 90.00°
With the nearest neighbours (Å) after each atom.
Atoms (fractional coordinates):
Nd 0.2108 0.0000 0.1977  2 C 2.62, 1 P 2.83
Nd 0.2388 0.5000 0.7959  1 C 2.57, 2 P 2.79
Nd 0.7612 0.5000 0.2041  1 C 2.57, 2 P 2.79
Nd 0.7892 0.0000 0.8023  2 C 2.62, 1 P 2.83
P 0.5000 0.0000 0.0000  6 Nd 2.79-2.83
C 0.0000 0.5000 0.0000  6 Nd 2.57-2.62
Cl 0.0000 0.0000 0.5000  6 Nd 3.03-3.04
Cl 0.5000 0.5000 0.5000  6 Nd 3.19-3.25

## Properties
ΔE_f (raw), eV per atom: -1.307
Space-group type: P2/m (10)

---

## Nd4PdCCl2 (PBE)

Data for Nd4PdCCl2 after structural relaxation.

a = 7.2784 Å, b = 3.9098 Å, c = 7.2977 Å
α = 90.00°, β = 107.53°, γ = 90.00°
With the nearest neighbours (Å) after each atom.
Atoms (fractional coordinates):
Nd 0.2084 0.0000 0.2022  2 C 2.64, 1 Pd 2.93
Nd 0.2289 0.5000 0.7894  1 C 2.58, 2 Pd 2.87
Nd 0.7711 0.5000 0.2106  1 C 2.58, 2 Pd 2.87
Nd 0.7916 0.0000 0.7978  2 C 2.64, 1 Pd 2.93
Pd 0.5000 0.0000 0.0000  6 Nd 2.87-2.93
C 0.0000 0.5000 0.0000  6 Nd 2.58-2.64
Cl 0.0000 0.0000 0.5000  6 Nd 2.99-3.00
Cl 0.5000 0.5000 0.5000  6 Nd 3.20-3.30

## Properties
ΔE_f (raw), eV per atom: -0.973
Space-group type: P2/m (10)